Entry 1:
Ir2OsW: relaxed, PBE.

Values from the calculation:
Electronic total energy in eV/cell: -172.33
E above lowest polymorph in eV per atom: 0.008
Space group: Ama2

a b c (Å): 4.420 9.587 5.560
angles (deg): 90.00 90.00 90.00
Positions (direct):
Ir  0.250  0.083  0.000
Ir  0.250  0.334  0.747
Ir  0.250  0.583  0.500
Ir  0.250  0.834  0.247
Ir  0.750  0.166  0.247
Ir  0.750  0.417  0.500
Ir  0.750  0.666  0.747
Ir  0.750  0.917  0.000
Os  0.250  0.083  0.499
Os  0.250  0.583  0.999
Os  0.750  0.417  0.999
Os  0.750  0.917  0.499
W  0.250  0.335  0.247
W  0.250  0.835  0.747
W  0.750  0.165  0.747
W  0.750  0.665  0.247

=====

Entry 2:
Ir5OsW2: relaxed, PBE.

Values from the calculation:
Electronic total energy in eV/cell: -168.13
Space group: Amm2

a b c (Å): 4.423 5.530 9.638
angles (deg): 90.00 90.00 90.00
Positions (direct):
Ir  0.000  0.000  0.000
Ir  0.000  0.249  0.750
Ir  0.000  0.251  0.250
Ir  0.000  0.500  0.500
Ir  0.000  0.749  0.250
Ir  0.000  0.751  0.750
Ir  0.500  0.249  0.917
Ir  0.500  0.251  0.417
Ir  0.500  0.749  0.417
Ir  0.500  0.751  0.917
Os  0.500  0.000  0.667
Os  0.500  0.500  0.167
W  0.000  0.000  0.501
W  0.000  0.500  0.001
W  0.500  0.000  0.167
W  0.500  0.500  0.667

=====

Entry 3:
Ir2OsW: relaxed, PBE.

Values from the calculation:
Electronic total energy in eV/cell: -172.28
E above lowest polymorph in eV per atom: 0.011
Space group: Amm2

a b c (Å): 4.416 5.560 9.585
angles (deg): 90.00 90.00 90.00
Positions (direct):
Ir  0.000  0.000  0.000
Ir  0.000  0.249  0.751
Ir  0.000  0.251  0.251
Ir  0.000  0.500  0.500
Ir  0.000  0.749  0.251
Ir  0.000  0.751  0.751
Ir  0.500  0.000  0.668
Ir  0.500  0.500  0.168
Os  0.500  0.249  0.916
Os  0.500  0.251  0.416
Os  0.500  0.749  0.416
Os  0.500  0.751  0.916
W  0.000  0.000  0.500
W  0.000  0.500  0.000
W  0.500  0.000  0.167
W  0.500  0.500  0.667

=====

Entry 4:
Ir2Os2W: relaxed, PBE.

Values from the calculation:
Electronic total energy in eV/cell: -100.28
E above lowest polymorph in eV per atom: 0.000
Space group: I4/mmm

a b c (Å): 3.611 3.611 12.382
angles (deg): 90.00 90.00 90.00
Positions (direct):
Ir  0.000  0.000  0.098
Ir  0.000  0.000  0.902
Ir  0.500  0.500  0.402
Ir  0.500  0.500  0.598
Os  0.000  0.500  0.250
Os  0.000  0.500  0.750
Os  0.500  0.000  0.250
Os  0.500  0.000  0.750
W  0.000  0.000  0.500
W  0.500  0.500  0.000

=====

Entry 5:
Y2IrOs: relaxed, PBE.

Values from the calculation:
Electronic total energy in eV/cell: -130.98
Space group: F-43m

a b c (Å): 6.747 6.747 6.747
angles (deg): 90.00 90.00 90.00
Positions (direct):
Y  0.000  0.000  0.000
Y  0.000  0.500  0.500
Y  0.250  0.250  0.250
Y  0.250  0.750  0.750
Y  0.500  0.000  0.500
Y  0.500  0.500  0.000
Y  0.750  0.250  0.750
Y  0.750  0.750  0.250
Ir  0.250  0.250  0.750
Ir  0.250  0.750  0.250
Ir  0.750  0.250  0.250
Ir  0.750  0.750  0.750
Os  0.000  0.000  0.500
Os  0.000  0.500  0.000
Os  0.500  0.000  0.000
Os  0.500  0.500  0.500

=====

Entry 6:
YIrOs2: relaxed, PBE.

Values from the calculation:
Electronic total energy in eV/cell: -144.23
Space group: F-43m

a b c (Å): 6.476 6.476 6.476
angles (deg): 90.00 90.00 90.00
Positions (direct):
Y  0.000  0.000  0.000
Y  0.000  0.500  0.500
Y  0.500  0.000  0.500
Y  0.500  0.500  0.000
Ir  0.250  0.250  0.250
Ir  0.250  0.750  0.750
Ir  0.750  0.250  0.750
Ir  0.750  0.750  0.250
Os  0.000  0.000  0.500
Os  0.000  0.500  0.000
Os  0.250  0.250  0.750
Os  0.250  0.750  0.250
Os  0.500  0.000  0.000
Os  0.500  0.500  0.500
Os  0.750  0.250  0.250
Os  0.750  0.750  0.750

=====

Entry 7:
YIrOs: relaxed, PBE.

Values from the calculation:
Electronic total energy in eV/cell: -112.82
E above lowest polymorph in eV per atom: 0.000
Space group: Amm2

a b c (Å): 8.907 5.293 5.293
angles (deg): 60.60 90.00 90.00
Positions (direct):
Y  0.181  0.000  0.000
Y  0.316  0.333  0.333
Y  0.684  0.333  0.333
Y  0.819  0.000  0.000
Ir  0.000  0.009  0.501
Ir  0.000  0.501  0.009
Ir  0.249  0.664  0.664
Ir  0.751  0.664  0.664
Os  0.000  0.498  0.498
Os  0.500  0.327  0.837
Os  0.500  0.837  0.327
Os  0.500  0.841  0.841

=====

Entry 8:
YIr2Os: relaxed, PBE.

Values from the calculation:
Electronic total energy in eV/cell: -136.97
Space group: F-43m

a b c (Å): 6.489 6.489 6.489
angles (deg): 90.00 90.00 90.00
Positions (direct):
Y  0.000  0.000  0.000
Y  0.000  0.500  0.500
Y  0.500  0.000  0.500
Y  0.500  0.500  0.000
Ir  0.000  0.000  0.500
Ir  0.000  0.500  0.000
Ir  0.250  0.250  0.750
Ir  0.250  0.750  0.250
Ir  0.500  0.000  0.000
Ir  0.500  0.500  0.500
Ir  0.750  0.250  0.250
Ir  0.750  0.750  0.750
Os  0.250  0.250  0.250
Os  0.250  0.750  0.750
Os  0.750  0.250  0.750
Os  0.750  0.750  0.250